The following is a PBE calculation of a relaxed structure of Tl3Cr, from Alexandria via LeMat-Bulk.

Properties
Energy relative to the lowest polymorph listed for this composition (eV/atom): 0.000
Energy of formation from the pure elements (eV/atom): 0.37
Magnetic moment (μB/cell): 4.1

```
4
Lattice="3.366 0.000 0.000 0.000 3.366 0.000 0.000 0.000 9.204" Properties=species:S:1:pos:R:3 pbc="T T T"
Cr 0.000 0.000 0.000
Tl 1.683 1.683 1.905
Tl 1.683 1.683 7.299
Tl 0.000 0.000 4.602
```


The following is a PBE calculation of a relaxed structure of TlCr3, from Alexandria via LeMat-Bulk.

Properties
Energy of formation from the pure elements (eV/atom): 0.70
Magnetic moment (μB/cell): 1.7

```
4
Lattice="-0.597 -2.690 0.987 1.704 -1.708 -3.622 4.390 -0.185 2.152" Properties=species:S:1:pos:R:3 pbc="T T T"
Cr 4.106 -0.173 2.013
Cr 2.282 -1.454 1.759
Tl 2.245 -0.913 -1.128
Cr 4.180 -2.352 0.461
```


The following is a PBE calculation of a relaxed structure of TlCr, from Alexandria via LeMat-Bulk.

Properties
Energy of formation from the pure elements (eV/atom): 0.71
Magnetic moment (μB/cell): 0.0

```
12
Lattice="7.933 0.000 0.000 -3.967 6.870 0.000 0.000 0.000 4.541" Properties=species:S:1:pos:R:3 pbc="T T T"
Tl -1.679 5.550 3.406
Cr 2.838 2.942 3.406
Tl 0.000 2.642 3.406
Cr 1.129 3.929 1.135
Tl 1.679 5.550 3.406
Cr 0.000 5.884 1.135
Cr 3.967 0.987 3.406
Cr -1.129 3.929 1.135
Tl 3.967 4.229 1.135
Tl 5.646 1.321 1.135
Cr 5.095 2.942 3.406
Tl 2.288 1.321 1.135
```


The following is a PBE calculation of a relaxed structure of TlCr, from Alexandria via LeMat-Bulk.

Properties
Energy of formation from the pure elements (eV/atom): 1.12
Magnetic moment (μB/cell): 8.6

```
4
Lattice="-4.073 -2.057 1.878 0.795 -0.101 -4.868 2.709 -4.867 0.543" Properties=species:S:1:pos:R:3 pbc="T T T"
Cr -0.419 -5.055 0.036
Cr -0.150 -1.970 -2.484
Tl -1.773 -2.622 -0.235
Tl 1.204 -4.403 -2.212
```


The following is a PBE calculation of a relaxed structure of TlCr, from Alexandria via LeMat-Bulk.

Properties
Energy of formation from the pure elements (eV/atom): 0.70
Magnetic moment (μB/cell): 0.3

```
12
Lattice="4.759 0.000 0.000 -2.380 4.122 0.000 0.000 0.000 13.241" Properties=species:S:1:pos:R:3 pbc="T T T"
Cr 0.000 2.748 4.574
Tl 0.000 2.748 11.997
Cr 0.000 0.000 12.327
Tl 0.000 2.748 7.579
Cr 2.380 1.374 8.667
Cr 0.000 0.000 0.913
Cr 0.000 2.748 2.173
Cr 2.380 1.374 11.068
Tl 2.380 1.374 5.662
Tl 2.380 1.374 1.244
Tl 0.000 0.000 9.494
Tl 0.000 0.000 3.747
```


The following is a PBE calculation of a relaxed structure of TlCr4, from Alexandria via LeMat-Bulk.

Properties
Energy relative to the lowest polymorph listed for this composition (eV/atom): 0.000
Energy of formation from the pure elements (eV/atom): 0.68
Magnetic moment (μB/cell): 0.0

```
5
Lattice="-1.292 -5.513 -0.499 -0.406 -3.450 4.498 -1.814 5.085 -1.777" Properties=species:S:1:pos:R:3 pbc="T T T"
Cr -1.534 -1.423 2.361
Cr -1.055 -5.569 2.485
Cr -1.977 -2.454 -0.138
Cr -0.643 -3.394 1.514
Tl 0.000 0.000 0.000
```


The following is a PBE calculation of a relaxed structure of TlCr, from Alexandria via LeMat-Bulk.

Properties
Energy of formation from the pure elements (eV/atom): 0.92
Magnetic moment (μB/cell): 0.0

```
32
Lattice="-8.940 -0.090 2.066 2.475 -7.506 10.382 0.679 4.564 3.137" Properties=species:S:1:pos:R:3 pbc="T T T"
Tl -7.050 1.464 6.839
Cr -0.936 1.005 6.183
Tl 1.604 -2.215 10.316
Cr -3.062 -4.317 6.942
Cr -6.087 -0.284 4.212
Cr 2.304 -6.988 9.665
Cr -3.959 1.718 3.319
Cr -0.380 -3.993 8.370
Tl -6.229 -3.828 6.917
Tl -2.920 -0.773 4.237
Cr 1.406 -0.953 6.043
Tl -0.236 -3.768 5.532
Cr 0.171 -0.519 0.717
Tl -5.944 -0.060 1.374
Cr -4.510 -1.756 10.972
Cr -5.745 -1.322 5.647
Cr 1.748 -1.990 7.477
Cr -1.278 2.042 4.748
Tl -3.205 -4.541 9.780
Tl -7.127 2.207 3.294
Tl -1.419 -1.502 7.452
Tl -1.343 -2.244 10.997
Cr -0.038 -5.030 9.805
Tl -4.366 -1.531 8.134
Cr -1.826 -4.751 12.267
Tl -6.153 -4.571 10.461
Cr -4.168 -2.793 12.407
Cr -3.404 -3.279 5.507
Tl -4.103 1.494 6.158
Tl 0.027 -0.743 3.556
Tl -2.996 -0.030 0.693
Tl -1.134 2.267 1.909
```


The following is a PBE calculation of a relaxed structure of Tl3Cr, from Alexandria via LeMat-Bulk.

Properties
Energy relative to the lowest polymorph listed for this composition (eV/atom): 0.033
Energy of formation from the pure elements (eV/atom): 0.41
Magnetic moment (μB/cell): 4.1

```
4
Lattice="-2.490 -5.118 -8.414 0.818 -4.295 -9.169 0.118 -7.122 -7.242" Properties=species:S:1:pos:R:3 pbc="T T T"
Tl -0.404 -4.302 -6.459
Cr 0.000 0.000 0.000
Tl -0.777 -8.268 -12.413
Tl -1.149 -12.233 -18.366
```


The following is a PBE calculation of a relaxed structure of TlCr, from Alexandria via LeMat-Bulk.

Properties
Energy of formation from the pure elements (eV/atom): 0.53
Magnetic moment (μB/cell): 4.0

```
6
Lattice="-3.637 -1.602 -5.223 -1.501 -3.849 -5.099 -5.119 -4.793 1.308" Properties=species:S:1:pos:R:3 pbc="T T T"
Tl -6.631 -6.647 -6.268
Cr -6.397 -6.267 -3.413
Tl -7.280 -7.441 -9.479
Tl -3.937 -4.141 -7.255
Cr -3.058 -3.086 -3.271
Cr -5.178 -4.857 1.145
```


The following is a PBE calculation of a relaxed structure of Tl3Cr, from Alexandria via LeMat-Bulk.

Properties
Energy relative to the lowest polymorph listed for this composition (eV/atom): 0.075
Energy of formation from the pure elements (eV/atom): 0.45
Magnetic moment (μB/cell): 4.4

```
4
Lattice="4.754 0.000 0.000 0.000 4.754 0.000 0.000 0.000 4.612" Properties=species:S:1:pos:R:3 pbc="T T T"
Tl 0.000 2.377 2.306
Tl 2.377 2.377 0.000
Tl 2.377 0.000 2.306
Cr 0.000 0.000 0.000
```


The following is a PBE calculation of a relaxed structure of TlCr3, from Alexandria via LeMat-Bulk.

Properties
Energy of formation from the pure elements (eV/atom): 0.67
Magnetic moment (μB/cell): 2.1

```
4
Lattice="5.058 -0.068 0.051 2.099 4.603 -0.051 -3.060 -3.087 2.590" Properties=species:S:1:pos:R:3 pbc="T T T"
Tl 0.999 -1.577 1.320
Cr -0.480 0.758 1.269
Cr 5.565 3.526 0.000
Cr 1.592 1.009 0.000
```


The following is a PBE calculation of a relaxed structure of TlCr, from Alexandria via LeMat-Bulk.

Properties
Energy of formation from the pure elements (eV/atom): 0.84
Magnetic moment (μB/cell): 8.9

```
4
Lattice="5.042 0.000 0.000 2.521 4.366 0.000 2.521 1.455 4.117" Properties=species:S:1:pos:R:3 pbc="T T T"
Tl 5.042 2.911 2.058
Cr 0.000 0.000 0.000
Tl 2.521 1.455 1.029
Cr 7.563 4.366 3.088
```